(1)
First-principles (GGA-PBE) data for crystalline PmSiBr at its relaxed geometry, as listed in OQMD via LeMat-Bulk.

total energy: -5.20 eV per atom
size of the total moment: 0.00 μB per formula unit

a b c (Å): 7.1130 4.1070 11.5478
angles (deg): 90.00 91.59 90.00
Space group C2/m (No. 12)
Asymmetric unit:
Pm  0.0077  0.0000  0.1717
Si  0.1664  0.5000  0.9930
Br  0.1817  0.5000  0.3338

---

(2)
First-principles (GGA-PBE) data for crystalline Pm7SiBr12 at its relaxed geometry, as listed in OQMD via LeMat-Bulk.

total energy: -4.59 eV per atom
size of the total moment: 0.26 μB per formula unit

a b c (Å): 15.1425 15.1425 10.1737
angles (deg): 90.00 90.00 120.00
Space group R-3 (No. 148, hexagonal axes)
Asymmetric unit:
Pm  0.0000  0.0000  0.0000
Pm  0.0468  0.1687  0.3455
Si  0.0000  0.0000  0.5000
Br  0.0239  0.5875  0.1649
Br  0.0496  0.1793  0.8392

---

(3)
First-principles (GGA-PBE) data for crystalline Pm4TcBr5 at its relaxed geometry, as listed in OQMD via LeMat-Bulk.

total energy: -5.06 eV per atom
size of the total moment: 0.39 μB per formula unit

a b c (Å): 18.5870 3.8979 9.4060
angles (deg): 90.00 105.69 90.00
Space group C2/m (No. 12)
Asymmetric unit:
Pm  0.0029  0.0000  0.2372
Pm  0.1453  0.5000  0.0777
Tc  0.0000  0.5000  0.0000
Br  0.0000  0.5000  0.5000
Br  0.1700  0.0000  0.3290
Br  0.1699  0.0000  0.8454

---

(4)
First-principles (GGA-PBE) data for crystalline Pm2TlBr2 at its relaxed geometry, as listed in OQMD via LeMat-Bulk.

total energy: -4.21 eV per atom
size of the total moment: 0.00 μB per formula unit

a b c (Å): 4.1399 4.1399 34.6496
angles (deg): 90.00 90.00 120.00
Space group R-3m (No. 166, hexagonal axes)
Asymmetric unit:
Pm  0.0000  0.0000  0.1063
Tl  0.0000  0.0000  0.5000
Br  0.0000  0.0000  0.2790

---

(5)
First-principles (GGA-PBE) data for crystalline PrBr2 at its relaxed geometry, as listed in OQMD via LeMat-Bulk.

total energy: -4.38 eV per atom
size of the total moment: 0.30 μB per formula unit

a b c (Å): 11.7113 11.7113 11.7113
angles (deg): 90.00 90.00 90.00
Space group F-43m (No. 216)
Asymmetric unit:
Pr  0.1139  0.1139  0.1139
Br  0.1251  0.1251  0.3749
Br  0.1378  0.1378  0.8622

---

(6)
First-principles (GGA-PBE) data for crystalline PrBr2 at its relaxed geometry, as listed in OQMD via LeMat-Bulk.

total energy: -4.35 eV per atom
size of the total moment: 0.00 μB per formula unit

a b c (Å): 4.0596 6.9928 13.6684
angles (deg): 90.00 90.00 90.00
Space group Cmc2_1 (No. 36)
Asymmetric unit:
Pr  0.0000  0.1665  0.0000
Br  0.0000  0.1685  0.3626
Br  0.0000  0.4985  0.6375

---

(7)
First-principles (GGA-PBE) data for crystalline Pr3Br2 at its relaxed geometry, as listed in OQMD via LeMat-Bulk.

total energy: -4.34 eV per atom
size of the total moment: 0.00 μB per formula unit

a b c (Å): 7.3745 7.3745 20.2197
angles (deg): 90.00 90.00 120.00
Space group R-3c (No. 167, hexagonal axes)
Asymmetric unit:
Pr  0.0000  0.3435  0.2500
Br  0.0000  0.0000  0.1665

---

(8)
First-principles (GGA-PBE) data for crystalline Pr2Br at its relaxed geometry, as listed in OQMD via LeMat-Bulk.

total energy: -3.71 eV per atom
size of the total moment: 0.72 μB per formula unit

a b c (Å): 9.3918 9.3918 9.3918
angles (deg): 90.00 90.00 90.00
Space group Fd-3m (No. 227, origin choice 2)
Asymmetric unit:
Pr  0.0000  0.0000  0.0000
Br  0.1250  0.1250  0.6250

---

(9)
First-principles (GGA-PBE) data for crystalline PrBr2 at its relaxed geometry, as listed in OQMD via LeMat-Bulk.

total energy: -4.31 eV per atom
size of the total moment: 0.24 μB per formula unit

a b c (Å): 7.5382 7.5382 3.7656
angles (deg): 90.00 90.00 90.00
Space group P4_2/mnm (No. 136)
Asymmetric unit:
Pr  0.0000  0.0000  0.0000
Br  0.2199  0.2199  0.5000

---

(10)
First-principles (GGA-PBE) data for crystalline PrBr2 at its relaxed geometry, as listed in OQMD via LeMat-Bulk.

total energy: -3.04 eV per atom
size of the total moment: 1.04 μB per formula unit

a b c (Å): 8.9463 8.9463 8.9463
angles (deg): 90.00 90.00 90.00
Space group Fd-3m (No. 227, origin choice 2)
Asymmetric unit:
Pr  0.1250  0.1250  0.1250
Br  0.0000  0.0000  0.5000

---

(11)
First-principles (GGA-PBE) data for crystalline PrSmSbBr2 at its relaxed geometry, as listed in OQMD via LeMat-Bulk.

total energy: -4.92 eV per atom
size of the total moment: 0.00 μB per formula unit

a b c (Å): 4.3559 4.3559 11.0693
angles (deg): 90.00 90.00 120.00
Space group P3m1 (No. 156)
Asymmetric unit:
Pr  0.0000  0.0000  0.0000
Sm  0.6667  0.3333  0.6758
Sb  0.3333  0.6667  0.8336
Br  0.0000  0.0000  0.5208
Br  0.6667  0.3333  0.1610

---

(12)
First-principles (GGA-PBE) data for crystalline TbPrSbBr2 at its relaxed geometry, as listed in OQMD via LeMat-Bulk.

total energy: -4.88 eV per atom
size of the total moment: 0.00 μB per formula unit

a b c (Å): 4.3157 4.3157 11.0053
angles (deg): 90.00 90.00 120.00
Space group P3m1 (No. 156)
Asymmetric unit:
Tb  0.0000  0.0000  0.0000
Pr  0.3333  0.6667  0.3234
Sb  0.6667  0.3333  0.1537
Br  0.0000  0.0000  0.4870
Br  0.3333  0.6667  0.8472